# 1
Crystalline UMnTcSn at its relaxed geometry. Source: Alexandria via LeMat-Bulk, functional PBE-GGA.

Properties
Energy of formation from the pure elements = 3.7 kJ per mole of atoms

Cell lengths 4.6496, 4.6496, 4.6496 Å; angles 60.00, 60.00, 60.00 degrees
Positions (direct):
U: 0.0000 0.0000 0.0000
Mn: 0.7500 0.7500 0.7500
Tc: 0.2500 0.2500 0.2500
Sn: 0.5000 0.5000 0.5000

# 2
Crystalline MnVTcSn at its relaxed geometry. Source: Alexandria via LeMat-Bulk, functional PBE-GGA.

Properties
Energy of formation from the pure elements = -2.8 kJ per mole of atoms

Cell lengths 4.3719, 4.3719, 4.3719 Å; angles 60.00, 60.00, 60.00 degrees
Positions (direct):
Mn: 0.0000 0.0000 0.0000
V: 0.7500 0.7500 0.7500
Tc: 0.5000 0.5000 0.5000
Sn: 0.2500 0.2500 0.2500

# 3
Crystalline MnSnTe at its relaxed geometry. Source: Alexandria via LeMat-Bulk, functional PBE-GGA.

Properties
Energy relative to the elements, uncorrected = 0.082 eV per atom

Cell lengths 6.3122, 6.3122, 3.8754 Å; angles 90.00, 90.00, 91.30 degrees
Positions (direct):
Mn: 0.0000 0.0000 0.0000
Mn: 0.5000 0.5000 0.5000
Sn: 0.2063 0.7937 0.5000
Sn: 0.7937 0.2063 0.5000
Te: 0.2925 0.2925 0.0000
Te: 0.7075 0.7075 0.0000

# 4
Crystalline Mn2SnTe4 at its relaxed geometry. Source: Alexandria via LeMat-Bulk, functional PBE-GGA.

Properties
Energy above the lowest structure with this stoichiometry = 0.00 eV per formula unit
Energy relative to the elements, uncorrected = -0.128 eV per atom

Cell lengths 13.2947, 8.2451, 7.3710 Å; angles 90.00, 90.00, 90.00 degrees
Positions (direct):
Mn: 0.0000 0.0000 0.0000
Mn: 0.0000 0.5000 0.0000
Mn: 0.2273 0.2500 0.4761
Mn: 0.2727 0.7500 0.9761
Mn: 0.5000 0.0000 0.5000
Mn: 0.5000 0.5000 0.5000
Mn: 0.7273 0.2500 0.0239
Mn: 0.7727 0.7500 0.5239
Sn: 0.1373 0.7500 0.4205
Sn: 0.3627 0.2500 0.9205
Sn: 0.6373 0.7500 0.0795
Sn: 0.8627 0.2500 0.5795
Te: 0.0703 0.2500 0.7301
Te: 0.0825 0.7500 0.8279
Te: 0.1824 0.0263 0.1738
Te: 0.1824 0.4737 0.1738
Te: 0.3176 0.5263 0.6738
Te: 0.3176 0.9737 0.6738
Te: 0.4175 0.2500 0.3279
Te: 0.4297 0.7500 0.2301
Te: 0.5703 0.2500 0.7699
Te: 0.5825 0.7500 0.6721
Te: 0.6824 0.0263 0.3262
Te: 0.6824 0.4737 0.3262
Te: 0.8176 0.5263 0.8262
Te: 0.8176 0.9737 0.8262
Te: 0.9175 0.2500 0.1721
Te: 0.9297 0.7500 0.2699

# 5
Crystalline Mn4SnTe8 at its relaxed geometry. Source: Alexandria via LeMat-Bulk, functional PBE-GGA.

Properties
Energy relative to the elements, uncorrected = -0.179 eV per atom

Cell lengths 8.6536, 8.6536, 8.6536 Å; angles 53.88, 53.88, 53.88 degrees
Positions (direct):
Mn: 0.0000 0.0000 0.0000
Mn: 0.0000 0.5000 0.5000
Mn: 0.5000 0.0000 0.5000
Mn: 0.5000 0.5000 0.0000
Sn: 0.5000 0.5000 0.5000
Te: 0.2370 0.2370 0.7376
Te: 0.2370 0.7376 0.2370
Te: 0.2624 0.7630 0.7630
Te: 0.2648 0.2648 0.2648
Te: 0.7352 0.7352 0.7352
Te: 0.7376 0.2370 0.2370
Te: 0.7630 0.2624 0.7630
Te: 0.7630 0.7630 0.2624

# 6
Crystalline MnSnTe2 at its relaxed geometry. Source: Alexandria via LeMat-Bulk, functional PBE-GGA.

Properties
Energy relative to the elements, uncorrected = -0.148 eV per atom

Cell lengths 7.5235, 7.5235, 7.5235 Å; angles 33.22, 33.22, 33.22 degrees
Positions (direct):
Mn: 0.0000 0.0000 0.0000
Sn: 0.5000 0.5000 0.5000
Te: 0.2602 0.2602 0.2602
Te: 0.7398 0.7398 0.7398

# 7
Crystalline Mn2SnTe4 at its relaxed geometry. Source: Alexandria via LeMat-Bulk, functional PBE-GGA.

Properties
Energy above the lowest structure with this stoichiometry = 0.49 eV per formula unit
Energy relative to the elements, uncorrected = -0.058 eV per atom

Cell lengths 8.7905, 8.7905, 8.7905 Å; angles 127.95, 127.95, 76.70 degrees
Positions (direct):
Mn: 0.0000 0.0000 0.0000
Mn: 0.5000 0.0000 0.0000
Mn: 0.5000 0.0000 0.5000
Mn: 0.5000 0.5000 0.5000
Sn: 0.1250 0.3750 0.7500
Sn: 0.8750 0.6250 0.2500
Te: 0.1353 0.0481 0.8242
Te: 0.1889 0.3647 0.4128
Te: 0.2761 0.6889 0.3242
Te: 0.4519 0.7761 0.0872
Te: 0.5481 0.2239 0.9128
Te: 0.7239 0.3111 0.6758
Te: 0.8111 0.6353 0.5872
Te: 0.8647 0.9519 0.1758

# 8
Crystalline MnSnTe2 at its relaxed geometry. Source: Alexandria via LeMat-Bulk, functional PBE-GGA.

Properties
Energy relative to the elements, uncorrected = -0.074 eV per atom

Cell lengths 9.7664, 9.7664, 9.7664 Å; angles 22.06, 22.06, 22.06 degrees
Positions (direct):
Mn: 0.0000 0.0000 0.0000
Sn: 0.5000 0.5000 0.5000
Te: 0.3893 0.3893 0.3893
Te: 0.6107 0.6107 0.6107